[1]
## MnTeRu2Cl (GGA-PBE)

Data for an optimized crystal structure of MnTeRu2Cl.

a = 4.564 Å, b = 4.564 Å, c = 4.842 Å
α = 90.00°, β = 90.00°, γ = 90.00°
Space group P4/mmm (No. 123)
Asymmetric unit:
Mn 0.000 0.000 0.000 [1 per cell]
Te 0.000 0.000 0.500 [1 per cell]
Ru 0.000 0.500 0.000 [2 per cell]
Cl 0.500 0.500 0.500 [1 per cell]

DFT total energy	-26.6	eV for the cell shown
formation energy (no corrections)	6.11	eV/f.u.
magnetic moment	2.033	μB per cell



[2]
## Y2MnRuCl (GGA-PBE)

Data for an optimized crystal structure of Y2MnRuCl.

a = 5.121 Å, b = 5.121 Å, c = 4.392 Å
α = 90.00°, β = 90.00°, γ = 90.00°
Space group P4/mmm (No. 123)
Asymmetric unit:
Y 0.000 0.500 0.000 [2 per cell]
Mn 0.000 0.000 0.500 [1 per cell]
Ru 0.500 0.500 0.500 [1 per cell]
Cl 0.500 0.500 0.000 [1 per cell]

DFT total energy	-32.6	eV for the cell shown
formation energy (no corrections)	0.62	eV/f.u.
magnetic moment	3.721	μB per cell



[3]
## MnS2Cl (GGA-PBE)

Data for an optimized crystal structure of MnS2Cl.

a = 3.4904 Å, b = 3.4904 Å, c = 21.7461 Å
α = 90.00°, β = 90.00°, γ = 120.00°
Space group R-3m (No. 166, hexagonal axes)
Asymmetric unit:
Mn 0.0000 0.0000 0.0000 [3 per cell]
S 0.0000 0.0000 0.3897 [6 per cell]
Cl 0.0000 0.0000 0.5000 [3 per cell]

DFT total energy	-61.8	eV for the cell shown
formation energy (no corrections)	-1.33	eV/f.u.
magnetic moment	7.971	μB per cell